# 1
Ni2BCl2 GGA-PBE relaxed; calculated total energy = -3.328 eV/atom; crystal system = tetragonal; distance to the lowest polymorph of the same formula = 0.097 eV per atom; symmetry = No. 127; size of the total moment = 1.18 μB per formula unit
1.0
-3.475 -0.455 -6.107
4.989 -4.283 -2.519
-1.526 -2.393 1.047
Ni Cl B
4 4 2
Cartesian
0.983 -5.026 -5.688 Ni
-2.013 -2.950 -5.309 Ni
-0.994 -2.105 -1.892 Ni
2.001 -4.181 -2.271 Ni
3.024 -3.798 -4.274 Cl
-1.509 -0.941 -4.352 Cl
1.220 -1.565 -1.800 Cl
0.294 -3.174 -6.826 Cl
0.757 -2.369 -4.313 B
0.000 0.000 0.000 B

# 2
Ni3BCl GGA-PBE relaxed; calculated total energy = -4.859 eV/atom; crystal system = cubic; distance to the lowest polymorph of the same formula = 0.000 eV per atom; symmetry = No. 221; size of the total moment = 0.00 μB per formula unit
1.0
3.922 0.000 0.000
0.000 3.922 0.000
0.000 0.000 3.922
Ni Cl B
3 1 1
Cartesian
0.000 1.961 0.000 Ni
0.000 0.000 1.961 Ni
1.961 0.000 0.000 Ni
1.961 1.961 1.961 Cl
0.000 0.000 0.000 B

no.,formation energy without anion corrections (eV per atom)
1,1.06
2,0.31